Record 1
VASP calculation (GGA-PBE) on a geometry-optimized DyAlZn2 structure.

Unit cell a=5.2872 b=9.1582 c=3.3982 alpha=90.00 beta=90.00 gamma=90.00
With the nearest neighbours (Å) after each atom.
Space group Cmmm (No. 65)
Symmetry-distinct sites (fractional):
Dy 0.0000 0.0000 0.0000 x2  4 Al 3.14, 8 Zn 3.14, 2 Dy 3.40
Al 0.0000 0.5000 0.5000 x2  4 Zn 2.64
Zn 0.2500 0.2500 0.5000 x4  2 Zn 2.64, 2 Al 2.64

Summary:
energy of formation: -191 meV/atom
DOS(E_F): 0.483 states/eV per atom
magnetization: 0.00 μB per cell

=====

Record 2
VASP calculation (GGA-PBE) on a geometry-optimized MgTeMo structure.

Unit cell a=3.5039 b=5.1944 c=14.0851 alpha=90.00 beta=90.00 gamma=90.00
With the nearest neighbours (Å) after each atom.
Space group Fmm2 (No. 42)
Symmetry-distinct sites (fractional):
Mg 0.0000 0.0000 0.0000 x4  2 Mo 2.78
Te 0.0000 0.0000 0.3006 x4  2 Mo 2.72
Mo 0.0000 0.0000 0.6529 x4  2 Te 2.72, 2 Mg 2.78

Summary:
formation energy without anion corrections: 0.45 eV per atom
DOS(E_F): 0.868 states/eV per atom
magnetization: 0.57 μB per cell